Record 1
## CrOs2Au (GGA-PBE)

Data for a relaxed structure of CrOs2Au.

The structure in CIF format:
```
data_CrOs2Au
_chemical_formula_sum 'Cr2 Os4 Au2'
_symmetry_space_group_name_H-M 'C m m m'
_symmetry_Int_Tables_number 65
_symmetry_space_group_name_Hall '-C 2 2'
_cell_length_a 5.452
_cell_length_b 7.650
_cell_length_c 2.808
_cell_angle_alpha 90.00
_cell_angle_beta 90.00
_cell_angle_gamma 90.00
loop_
_atom_site_label
_atom_site_fract_x
_atom_site_fract_y
_atom_site_fract_z
_atom_site_occupancy
Cr1 0.000 0.000 0.000 1
Os1 0.250 0.250 0.500 1
Au1 0.000 0.500 0.000 1
```

Values from the calculation:
Density of states at the Fermi level ... 1.11 states/eV per atom
Formation energy ... 524 meV per atom
Calculated volume ... 117.1 Å³ per cell
Excess energy over the best structure of this formula in the dataset ... 0.262 eV per atom
Magnetization ... 2.109 μB per cell



Record 2
## U2Ga8Os (GGA-PBE)

Data for a relaxed structure of U2Ga8Os.

The structure in CIF format:
```
data_U2Ga8Os
_chemical_formula_sum 'U2 Ga8 Os1'
_symmetry_space_group_name_H-M 'P 4/m m m'
_symmetry_Int_Tables_number 123
_symmetry_space_group_name_Hall '-P 4 2'
_cell_length_a 4.340
_cell_length_b 4.340
_cell_length_c 10.965
_cell_angle_alpha 90.00
_cell_angle_beta 90.00
_cell_angle_gamma 90.00
loop_
_atom_site_label
_atom_site_fract_x
_atom_site_fract_y
_atom_site_fract_z
_atom_site_occupancy
U1 0.000 0.000 0.193 1
Ga1 0.000 0.500 0.000 1
Ga2 0.000 0.500 0.377 1
Ga3 0.500 0.500 0.192 1
Os1 0.000 0.000 0.500 1
```

Values from the calculation:
Density of states at the Fermi level ... 0.98 states/eV per atom
Formation energy ... -258 meV per atom
Calculated volume ... 206.5 Å³ per cell
Magnetization ... 3.824 μB per cell